## MnIrN2F (PBE+U)

Data for a geometry-optimized MnIrN2F structure.

abc: 3.934 3.934 3.590
angles: 90.00 90.00 90.00
Positions (direct):
Mn 0.000 0.000 0.000
Ir 0.500 0.500 0.500
N 0.000 0.500 0.000
N 0.500 0.000 0.000
F 0.000 0.000 0.500

Output
- Excess energy over the best structure of this formula in the dataset: 709 meV per atom
- Volume: 55.57 Å³/cell